w:
Tb2Ce2Ru3 PBE relaxed; spin magnetization = 0.00 μB/atom
1.0
5.438 -2.358 0.000
5.438 2.358 0.000
-1.479 0.000 6.782
Tb Ce Ru
2 2 3
direct
0.133 0.133 0.411
0.867 0.867 0.589
0.371 0.371 0.130
0.629 0.629 0.870
0.322 0.322 0.794
0.500 0.500 0.500
0.678 0.678 0.206

x:
Tb2Ce2Ru3 PBE relaxed; spin magnetization = 0.00 μB/atom
1.0
4.083 0.000 0.000
2.037 5.640 0.000
2.028 0.213 6.968
Tb Ce Ru
2 2 3
direct
0.081 0.217 0.122
0.919 0.783 0.878
0.304 0.290 0.602
0.696 0.710 0.398
0.000 0.000 0.500
0.335 0.661 0.170
0.665 0.339 0.830

It is x that is the most stable of them.

w:
Tb5CeRu4 PBE relaxed; spin magnetization = 0.00 μB/atom
1.0
8.740 -1.948 0.000
8.740 1.948 0.000
-0.070 0.000 7.710
Tb Ce Ru
5 1 4
direct
0.000 0.000 0.000
0.342 0.342 0.256
0.344 0.344 0.740
0.656 0.656 0.260
0.658 0.658 0.744
0.000 0.000 0.500
0.196 0.196 0.501
0.499 0.499 0.259
0.501 0.501 0.741
0.804 0.804 0.499

x:
Tb5CeRu4 PBE relaxed; spin magnetization = 0.00 μB/atom
1.0
4.879 0.000 0.000
0.063 6.773 0.000
2.438 0.771 7.196
Tb Ce Ru
5 1 4
direct
0.000 0.000 0.000
0.330 0.479 0.339
0.334 0.978 0.332
0.666 0.022 0.668
0.670 0.521 0.661
0.000 0.500 0.000
0.152 0.749 0.695
0.498 0.258 0.000
0.502 0.742 0.000
0.848 0.251 0.305

It is x that is the most stable of them.

w:
Ce8TcRu2 PBE relaxed; spin magnetization = 0.21 μB/atom
1.0
3.925 -6.269 0.000
3.925 6.269 0.000
-2.169 0.000 5.438
Ce Tc Ru
8 1 2
direct
0.103 0.325 0.590
0.215 0.785 0.000
0.325 0.103 0.590
0.372 0.372 0.173
0.628 0.628 0.827
0.675 0.897 0.410
0.785 0.215 0.000
0.897 0.675 0.410
0.000 0.000 0.000
0.295 0.705 0.500
0.705 0.295 0.500

x:
Ce8TcRu2 PBE relaxed; spin magnetization = 0.00 μB/atom
1.0
8.838 -2.326 0.000
8.838 2.326 0.000
-2.509 0.000 6.262
Ce Tc Ru
8 1 2
direct
0.008 0.008 0.261
0.194 0.194 0.805
0.326 0.326 0.469
0.409 0.409 0.001
0.591 0.591 0.999
0.674 0.674 0.531
0.806 0.806 0.195
0.992 0.992 0.739
0.500 0.500 0.500
0.165 0.165 0.250
0.835 0.835 0.750

It is x that is the most stable of them.

w:
Ce2TeRu PBE relaxed; spin magnetization = 0.23 μB/atom
1.0
2.039 1.177 7.582
-2.039 1.177 7.582
0.000 -2.354 7.582
Ce Te Ru
2 1 1
direct
0.000 0.000 0.000
0.198 0.198 0.198
0.432 0.432 0.432
0.602 0.602 0.602

x:
Ce2TeRu PBE relaxed; spin magnetization = 0.35 μB/atom
1.0
3.612 0.000 0.000
0.000 3.612 0.000
0.000 0.000 7.482
Ce Te Ru
2 1 1
direct
0.000 0.000 0.217
0.000 0.000 0.783
0.500 0.500 0.500
0.500 0.500 0.000

It is w that is the most stable of them.

w:
CeThRu PBE relaxed; spin magnetization = 0.35 μB/atom
1.0
0.000 3.444 3.444
3.444 0.000 3.444
3.444 3.444 0.000
Ce Th Ru
1 1 1
direct
0.000 0.000 0.000
0.500 0.500 0.500
0.750 0.750 0.750

x:
CeThRu PBE relaxed; spin magnetization = 0.00 μB/atom
1.0
-1.806 1.806 5.299
1.806 -1.806 5.299
1.806 1.806 -5.299
Ce Th Ru
1 1 1
direct
0.000 0.000 0.000
0.308 0.308 0.000
0.656 0.656 0.000

It is x that is the most stable of them.

w:
CeThRu PBE relaxed; spin magnetization = 0.00 μB/atom
1.0
4.536 0.000 0.000
-2.268 3.928 0.000
0.000 0.000 4.079
Ce Th Ru
1 1 1
direct
0.000 0.000 0.000
0.333 0.667 0.596
0.667 0.333 0.293

x:
CeThRu PBE relaxed; spin magnetization = 0.00 μB/atom
1.0
6.187 0.000 0.000
0.000 7.298 0.000
-3.684 0.000 6.858
Ce Th Ru
4 4 4
direct
0.050 0.035 0.328
0.050 0.465 0.828
0.950 0.535 0.172
0.950 0.965 0.672
0.455 0.681 0.661
0.455 0.819 0.161
0.545 0.181 0.839
0.545 0.319 0.339
0.168 0.149 0.006
0.168 0.351 0.506
0.832 0.649 0.494
0.832 0.851 0.994

y:
CeThRu PBE relaxed; spin magnetization = 0.00 μB/atom
1.0
5.855 0.000 0.000
0.000 8.212 0.000
-3.335 0.000 6.648
Ce Th Ru
4 4 4
direct
0.231 0.122 0.499
0.231 0.378 0.999
0.769 0.622 0.001
0.769 0.878 0.501
0.227 0.628 0.476
0.227 0.872 0.976
0.773 0.128 0.024
0.773 0.372 0.524
0.489 0.125 0.250
0.489 0.375 0.750
0.511 0.625 0.250
0.511 0.875 0.750

It is x that is the most stable of them.

w:
Ce2ThRu PBE relaxed; spin magnetization = 0.00 μB/atom
1.0
3.670 0.000 0.000
0.000 9.798 0.000
-1.830 0.000 5.671
Ce Th Ru
4 2 2
direct
0.136 0.054 0.272
0.136 0.446 0.272
0.864 0.554 0.728
0.864 0.946 0.728
0.415 0.250 0.829
0.585 0.750 0.171
0.294 0.750 0.587
0.706 0.250 0.413

x:
Ce2ThRu PBE relaxed; spin magnetization = 0.00 μB/atom
1.0
2.727 1.575 3.823
-2.727 1.575 3.823
0.000 -3.149 3.823
Ce Th Ru
2 1 1
direct
0.227 0.227 0.227
0.773 0.773 0.773
0.500 0.500 0.500
0.000 0.000 0.000

y:
Ce2ThRu PBE relaxed; spin magnetization = 0.00 μB/atom
1.0
6.945 0.000 0.000
0.000 9.865 0.000
0.000 0.000 6.078
Ce Th Ru
8 4 4
direct
0.173 0.058 0.143
0.173 0.442 0.143
0.327 0.558 0.643
0.327 0.942 0.643
0.673 0.058 0.357
0.673 0.442 0.357
0.827 0.558 0.857
0.827 0.942 0.857
0.043 0.250 0.644
0.457 0.750 0.144
0.543 0.250 0.856
0.957 0.750 0.356
0.113 0.750 0.890
0.387 0.250 0.390
0.613 0.750 0.610
0.887 0.250 0.110

It is w that is the most stable of them.

w:
Ce2ThRu PBE relaxed; spin magnetization = 0.00 μB/atom
1.0
3.548 0.000 0.000
0.000 3.548 0.000
0.000 0.000 7.840
Ce Th Ru
2 1 1
direct
0.000 0.000 0.205
0.000 0.000 0.795
0.500 0.500 0.500
0.500 0.500 0.000

x:
Ce2ThRu PBE relaxed; spin magnetization = 0.00 μB/atom
1.0
1.873 1.081 9.099
-1.873 1.081 9.099
0.000 -2.162 9.099
Ce Th Ru
2 1 1
direct
0.000 0.000 0.000
0.209 0.209 0.209
0.772 0.772 0.772
0.605 0.605 0.605

It is w that is the most stable of them.

w:
Ce5Tl2Ru PBE relaxed; spin magnetization = 0.64 μB/atom
1.0
2.661 -8.628 0.000
2.661 8.628 0.000
0.000 0.000 12.198
Ce Tl Ru
10 4 2
direct
0.051 0.949 0.596
0.051 0.949 0.904
0.270 0.730 0.563
0.270 0.730 0.937
0.312 0.688 0.250
0.688 0.312 0.750
0.730 0.270 0.063
0.730 0.270 0.437
0.949 0.051 0.096
0.949 0.051 0.404
0.133 0.867 0.131
0.133 0.867 0.369
0.867 0.133 0.631
0.867 0.133 0.869
0.165 0.835 0.750
0.835 0.165 0.250

x:
Ce5Tl2Ru PBE relaxed; spin magnetization = 0.47 μB/atom
1.0
-3.367 3.367 4.645
3.367 -3.367 4.645
3.367 3.367 -4.645
Ce Tl Ru
5 2 1
direct
0.000 0.000 0.000
0.065 0.065 0.539
0.065 0.526 0.000
0.526 0.065 0.000
0.526 0.526 0.461
0.049 0.549 0.500
0.549 0.049 0.500
0.673 0.673 0.000

It is x that is the most stable of them.

w:
Ce3TlRu PBE relaxed; spin magnetization = 0.45 μB/atom
1.0
5.325 0.000 0.000
0.000 5.325 0.000
0.000 0.000 5.325
Ce Tl Ru
3 1 1
direct
0.000 0.000 0.500
0.000 0.500 0.000
0.500 0.000 0.000
0.500 0.500 0.500
0.000 0.000 0.000

x:
Ce3TlRu PBE relaxed; spin magnetization = 0.50 μB/atom
1.0
3.236 1.868 8.515
-3.236 1.868 8.515
0.000 -3.737 8.515
Ce Tl Ru
6 2 2
direct
0.113 0.442 0.752
0.248 0.887 0.558
0.442 0.752 0.113
0.558 0.248 0.887
0.752 0.113 0.442
0.887 0.558 0.248
0.332 0.332 0.332
0.668 0.668 0.668
0.162 0.162 0.162
0.838 0.838 0.838

y:
Ce3TlRu PBE relaxed; spin magnetization = 0.17 μB/atom
1.0
6.616 0.000 0.000
0.000 5.469 0.000
-0.640 0.000 7.023
Ce Tl Ru
6 2 2
direct
0.002 0.000 0.349
0.136 0.500 0.047
0.435 0.000 0.308
0.565 0.500 0.692
0.864 0.000 0.953
0.998 0.500 0.651
0.320 0.999 0.796
0.680 0.499 0.204
0.273 0.499 0.389
0.727 0.999 0.611

It is y that is the most stable of them.

w:
Ce2TlRu PBE relaxed; spin magnetization = 0.22 μB/atom
1.0
1.977 1.141 8.175
-1.977 1.141 8.175
0.000 -2.283 8.175
Ce Tl Ru
2 1 1
direct
0.231 0.231 0.231
0.769 0.769 0.769
0.000 0.000 0.000
0.500 0.500 0.500

x:
Ce2TlRu PBE relaxed; spin magnetization = 0.23 μB/atom
1.0
1.972 1.139 8.271
-1.972 1.139 8.271
0.000 -2.277 8.271
Ce Tl Ru
2 1 1
direct
0.000 0.000 0.000
0.207 0.207 0.207
0.436 0.436 0.436
0.606 0.606 0.606

It is w that is the most stable of them.